(1)
An optimized crystal structure of YCuTc2, computed with GGA-PBE.

Structure (POSCAR):
```
YCuTc2
1.0
-2.4609 -2.2919 -3.0171
-1.5337 -2.1071 2.8516
-2.8537 2.5775 0.3697
Cu Tc Y
1 2 1
direct
0.5000 0.0000 0.5000
0.0000 0.0000 0.0000
0.0000 0.5000 0.5000
0.5000 0.5000 0.0000
```

Calculated values
E above lowest polymorph, eV/atom: 0.235
Density, Mg/m³: 8.6
Formation energy, eV/f.u.: 1.03
Volume, A^3/atom: 16.86
E_tot, eV per cell: -30.3


(2)
An optimized crystal structure of BeFeTeN2, computed with GGA-PBE.

Structure (POSCAR):
```
BeFeTeN2
1.0
-1.6703 0.9935 -3.0038
-3.0867 -1.2570 1.3007
-1.0734 4.9465 2.2329
Be Te Fe N
1 1 1 2
direct
0.5000 0.5000 0.5000
0.0000 0.0000 0.5000
0.0000 0.0000 0.0000
0.0000 0.5000 0.0000
0.5000 0.0000 0.0000
```

Calculated values
ΔE_f (raw), eV/atom: 0.85
E above lowest polymorph, eV/atom: 0.000
Density, Mg/m³: 5.2
Volume, A^3/atom: 14.16
E_tot, eV per cell: -27.7


(3)
An optimized crystal structure of AlInP, computed with GGA-PBE.

Structure (POSCAR):
```
AlInP
1.0
-5.8405 -0.1282 1.8044
0.6648 -3.2141 1.9236
3.7144 3.2971 4.2253
P Al In
2 2 2
direct
0.2919 0.0000 0.0715
0.2919 0.5000 0.5715
0.4491 0.0000 0.4597
0.4491 0.5000 0.9597
0.8314 0.0000 0.9140
0.8314 0.5000 0.4140
```

Calculated values
E above lowest polymorph, eV/atom: 0.000
Density, Mg/m³: 4.1
Formation energy, eV/f.u.: -0.44
Volume, A^3/atom: 23.55
E_tot, eV per cell: -24.7


(4)
An optimized crystal structure of Rb3CdW, computed with GGA-PBE.

Structure (POSCAR):
```
Rb3CdW
1.0
7.1294 0.0000 0.0000
0.0000 7.1294 0.0000
0.0000 0.0000 7.1294
Rb W Cd
3 1 1
direct
0.0000 0.5000 0.0000
0.0000 0.0000 0.5000
0.5000 0.0000 0.0000
0.0000 0.0000 0.0000
0.5000 0.5000 0.5000
```

Calculated values
E above lowest polymorph, eV/atom: 0.000
Density, Mg/m³: 2.5
Formation energy, eV/f.u.: 6.87
Volume, A^3/atom: 72.48
E_tot, eV per cell: -9.9


(5)
An optimized crystal structure of Pm2Pr2Sc, computed with GGA-PBE.

Structure (POSCAR):
```
Pm2Pr2Sc
1.0
-2.6062 -2.6022 5.2203
-3.8518 -3.0274 -4.1004
8.5487 -3.3905 -1.0763
Pm Pr Sc
4 4 2
direct
0.8671 0.2376 0.0423
0.1953 0.3248 0.4577
0.1329 0.7624 0.9577
0.8047 0.6752 0.5423
0.4397 0.3655 0.1564
0.2091 0.7834 0.3436
0.5603 0.6345 0.8436
0.7909 0.2166 0.6564
0.6803 0.9303 0.2500
0.3197 0.0697 0.7500
```

Calculated values
E above lowest polymorph, eV/atom: 0.000
Density, Mg/m³: 6.2
Formation energy, eV/f.u.: 0.67
Volume, A^3/atom: 33.30
E_tot, eV per cell: -49.4


(6)
An optimized crystal structure of KLa2Cu2, computed with GGA-PBE.

Structure (POSCAR):
```
KLa2Cu2
1.0
8.6869 0.0000 0.0000
0.0000 8.6869 0.0000
0.0000 0.0000 3.8516
K Cu La
2 4 4
direct
0.0000 0.0000 0.0000
0.5000 0.5000 0.0000
0.3804 0.8804 0.0000
0.8804 0.6196 0.0000
0.6196 0.1196 0.0000
0.1196 0.3804 0.0000
0.1487 0.6487 0.5000
0.6487 0.8513 0.5000
0.8513 0.3513 0.5000
0.3513 0.1487 0.5000
```

Calculated values
E above lowest polymorph, eV/atom: 0.000
Density, Mg/m³: 5.1
Formation energy, eV/f.u.: 0.59
Volume, A^3/atom: 29.07
E_tot, eV per cell: -37.1


(7)
An optimized crystal structure of ZrScPb2, computed with GGA-PBE.

Structure (POSCAR):
```
ZrScPb2
1.0
-2.1860 0.6767 -3.3644
-2.3585 -3.1902 0.8907
-3.7320 3.6406 3.1572
Pb Sc Zr
2 1 1
direct
0.0000 0.0000 0.9795
0.5000 0.5000 0.2677
0.0000 0.0000 0.4997
0.5000 0.5000 0.7531
```

Calculated values
E above lowest polymorph, eV/atom: 0.119
Density, Mg/m³: 9.1
Formation energy, eV/f.u.: -0.58
Volume, A^3/atom: 25.21
E_tot, eV per cell: -22.9


(8)
An optimized crystal structure of Mn2NiSbH, computed with GGA-PBE.

Structure (POSCAR):
```
Mn2NiSbH
1.0
3.7930 0.0000 0.0000
0.0000 3.7930 0.0000
0.0000 0.0000 3.9986
Sb Mn H Ni
1 2 1 1
direct
0.5000 0.5000 0.5000
0.0000 0.5000 0.0000
0.5000 0.0000 0.0000
0.0000 0.0000 0.0000
0.0000 0.0000 0.5000
```

Calculated values
Density, Mg/m³: 8.4
Volume, A^3/atom: 11.51
E_tot, eV per cell: -31.8


Question: Which value of volume does entry 2 give?
Answer: 14.16 A^3/atom